Entry 1:
Material: RbZn3Sb
Method: DFT, PBE
State: relaxed

Values from the calculation:
**Theoretical density**: 2.58 g cm⁻³
**Crystal system**: cubic
**E above lowest polymorph**: 0.7367 eV per atom

a b c (Å): 6.384 6.384 6.384
angles (deg): 90.00 90.00 90.00
Space group Pm-3m (No. 221)
One atom of each set of equivalent atoms:
Rb1 0.000 0.000 0.000
Zn1 0.000 0.000 0.500
Sb1 0.500 0.500 0.500


Entry 2:
Material: RbZnSb
Method: DFT, PBE
State: relaxed

Values from the calculation:
**Theoretical density**: 3.95 g cm⁻³
**Crystal system**: triclinic
**E_tot**: -2.4441 eV per atom

a b c (Å): 4.496 6.304 8.283
angles (deg): 102.13 90.37 90.38
Space group P-1 (No. 2)
One atom of each set of equivalent atoms:
Rb1 0.249 0.200 0.300
Zn1 0.243 0.615 0.057
Sb1 0.258 0.297 0.769


Entry 3:
Material: RbZn2Sb
Method: DFT, PBE
State: relaxed

Values from the calculation:
**Theoretical density**: 3.97 g cm⁻³
**Crystal system**: tetragonal
**E_tot**: -1.7991 eV per atom

a b c (Å): 8.778 8.778 7.337
angles (deg): 90.00 90.00 90.00
Space group I-42d (No. 122)
One atom of each set of equivalent atoms:
Rb1 0.000 0.000 0.000
Zn1 0.152 0.250 0.625
Sb1 0.000 0.000 0.500


Entry 4:
Material: RbZnSb2
Method: DFT, PBE
State: relaxed

Values from the calculation:
**Theoretical density**: 4.35 g cm⁻³
**Crystal system**: tetragonal
**E_tot**: -2.7116 eV per atom

a b c (Å): 5.781 5.781 18.016
angles (deg): 90.00 90.00 90.00
Space group I-42d (No. 122)
One atom of each set of equivalent atoms:
Rb1 0.000 0.000 0.000
Zn1 0.000 0.000 0.500
Sb1 0.106 0.250 0.625


Entry 5:
Material: RbZnSb4
Method: DFT, PBE
State: relaxed

Values from the calculation:
**Theoretical density**: 5.14 g cm⁻³
**Crystal system**: monoclinic
**E_tot**: -3.1861 eV per atom

a b c (Å): 15.505 7.040 7.607
angles (deg): 90.00 96.95 90.00
Space group C2/m (No. 12)
One atom of each set of equivalent atoms:
Rb1 0.198 0.000 0.313
Zn1 0.094 0.500 0.359
Sb1 0.000 0.231 0.500
Sb2 0.084 0.294 0.907
Sb3 0.221 0.500 0.162


Entry 6:
Material: Rb3Zn2Sb2
Method: DFT, PBE
State: relaxed

Values from the calculation:
**Theoretical density**: 4.11 g cm⁻³
**Crystal system**: orthorhombic
**E_tot**: -2.1998 eV per atom

a b c (Å): 7.020 9.872 14.710
angles (deg): 90.00 90.00 90.00
Space group Pbcm (No. 57)
One atom of each set of equivalent atoms:
Rb1 0.111 0.135 0.107
Rb2 0.319 0.713 0.750
Zn1 0.393 0.022 0.582
Sb1 0.219 0.065 0.750
Sb2 0.404 0.750 0.000


Entry 7:
Material: Rb3ZnSb
Method: DFT, PBE
State: relaxed

Values from the calculation:
**Theoretical density**: 2.01 g cm⁻³
**Crystal system**: cubic
**E above lowest polymorph**: 0.0545 eV per atom

a b c (Å): 7.160 7.160 7.160
angles (deg): 90.00 90.00 90.00
Space group Pm-3m (No. 221)
One atom of each set of equivalent atoms:
Rb1 0.000 0.000 0.500
Zn1 0.500 0.500 0.500
Sb1 0.000 0.000 0.000


Entry 8:
Material: RbZnSb2
Method: DFT, PBE
State: relaxed

Values from the calculation:
**Theoretical density**: 4.89 g cm⁻³
**Crystal system**: orthorhombic
**E_tot**: -2.8639 eV per atom

a b c (Å): 29.044 4.265 4.325
angles (deg): 90.00 90.00 90.00
Space group Pnma (No. 62)
One atom of each set of equivalent atoms:
Rb1 0.115 0.250 0.226
Zn1 0.249 0.750 0.224
Sb1 0.000 0.250 0.740
Sb2 0.190 0.750 0.724


Entry 9:
Material: RbZn3Sb3
Method: DFT, PBE
State: relaxed

Values from the calculation:
**Theoretical density**: 4.82 g cm⁻³
**Crystal system**: trigonal
**E above lowest polymorph**: 0.0126 eV per atom

a b c (Å): 7.3008 7.3008 28.9578
angles (deg): 90.00 90.00 120.00
Space group R-3 (No. 148, hexagonal axes)
One atom of each set of equivalent atoms:
Rb1 0.0000 0.0000 0.1665
Zn1 0.0003 0.3380 0.3590
Sb1 0.9995 0.3273 0.5982


Entry 10:
Material: RbZn3Sb3
Method: DFT, PBE
State: relaxed

Values from the calculation:
**Theoretical density**: 4.92 g cm⁻³
**Crystal system**: cubic
**E above lowest polymorph**: 0.0000 eV per atom

a b c (Å): 7.587 7.587 7.587
angles (deg): 90.00 90.00 90.00
Space group Pm-3n (No. 223)
One atom of each set of equivalent atoms:
Rb1 0.000 0.000 0.000
Zn1 0.000 0.250 0.500
Sb1 0.000 0.500 0.250


Entry 11:
Material: Rb4Zn5Sb6
Method: DFT, PBE
State: relaxed

Values from the calculation:
**Theoretical density**: 4.74 g cm⁻³
**Crystal system**: orthorhombic
**E_tot**: -2.5540 eV per atom

a b c (Å): 4.584 21.081 20.284
angles (deg): 90.00 90.00 90.00
Space group Cmc2_1 (No. 36)
One atom of each set of equivalent atoms:
Rb1 0.000 0.015 0.000
Rb2 0.000 0.015 0.250
Rb3 0.000 0.191 0.305
Rb4 0.000 0.191 0.945
Zn1 0.000 0.117 0.625
Zn2 0.000 0.256 0.625
Zn3 0.000 0.382 0.008
Zn4 0.000 0.382 0.242
Zn5 0.000 0.411 0.624
Sb1 0.000 0.157 0.125
Sb2 0.000 0.188 0.510
Sb3 0.000 0.188 0.740
Sb4 0.000 0.434 0.884
Sb5 0.000 0.435 0.366
Sb6 0.000 0.458 0.125


Entry 12:
Material: Rb2Zn5Sb4
Method: DFT, PBE
State: relaxed

Values from the calculation:
**Theoretical density**: 5.34 g cm⁻³
**Crystal system**: orthorhombic
**E_tot**: -2.4755 eV per atom

a b c (Å): 12.538 7.738 12.632
angles (deg): 90.00 90.00 90.00
Space group Cmcm (No. 63)
One atom of each set of equivalent atoms:
Rb1 0.221 0.000 0.000
Zn1 0.000 0.012 0.250
Zn2 0.000 0.341 0.609
Zn3 0.142 0.399 0.250
Sb1 0.000 0.282 0.101
Sb2 0.158 0.236 0.750


theoretical density of number 8 (RbZnSb2)?
4.89 g cm⁻³